Entry from OQMD: an optimized crystal structure of Na2Sm (PBE).

Unit cell a=7.709 b=7.709 c=7.709 alpha=90.00 beta=90.00 gamma=90.00
Fractional coordinates of all 12 atoms:
Na 0.250 0.250 0.250
Na 0.250 0.250 0.750
Na 0.250 0.750 0.250
Na 0.250 0.750 0.750
Na 0.750 0.250 0.250
Na 0.750 0.250 0.750
Na 0.750 0.750 0.250
Na 0.750 0.750 0.750
Sm 0.000 0.000 0.000
Sm 0.000 0.500 0.500
Sm 0.500 0.000 0.500
Sm 0.500 0.500 0.000

Properties
Magnetization (μB/f.u.): 0.0
Calculated density (Mg/m³): 2.85
Energy above the most stable polymorph in this dataset (eV per atom): 0.549